(1)
{
  "formula": "VPbSeN2",
  "functional": "PBE",
  "state": "relaxed",
  "magmom_total_mub_per_cell": 0.0,
  "crystal_system": "tetragonal",
  "lattice": [[-0.803, 0.138, -4.201], [-3.724, -2.006, 0.647], [-2.589, 5.018, 0.660]],
  "species": ["Pb", "N", "N", "Se", "V"],
  "frac_coords": [[0.000, 0.000, 0.000], [0.000, 0.500, 0.000], [0.500, 0.000, 0.000], [0.000, 0.000, 0.500], [0.500, 0.500, 0.500]]
}

---

(2)
{
  "formula": "VPbSeN2",
  "functional": "PBE",
  "state": "relaxed",
  "magmom_total_mub_per_cell": 0.0,
  "crystal_system": "tetragonal",
  "lattice": [[-2.063, 1.798, -2.696], [-4.894, 0.306, 3.950], [1.259, 3.389, 1.297]],
  "species": ["Pb", "N", "N", "Se", "V"],
  "frac_coords": [[0.000, 0.500, 0.000], [0.000, 0.000, 0.500], [0.500, 0.000, 0.000], [0.000, 0.000, 0.000], [0.500, 0.500, 0.500]]
}

---

(1) ends up most stable, edging out the next structure by 12 meV/atom.

---

(1)
{
  "formula": "ZrPbSeN2",
  "functional": "PBE",
  "state": "relaxed",
  "magmom_total_mub_per_cell": 1.6,
  "crystal_system": "tetragonal",
  "lattice": [[4.384, 0.000, 0.000], [0.000, 4.384, 0.000], [0.000, 0.000, 5.464]],
  "species": ["Pb", "Se", "Zr", "N", "N"],
  "frac_coords": [[0.500, 0.500, 0.500], [0.000, 0.000, 0.500], [0.000, 0.000, 0.000], [0.000, 0.500, 0.000], [0.500, 0.000, 0.000]]
}

---

(2)
{
  "formula": "ZrPbSeN2",
  "functional": "PBE",
  "state": "relaxed",
  "magmom_total_mub_per_cell": 0.0,
  "crystal_system": "tetragonal",
  "lattice": [[4.302, 0.000, 0.000], [0.000, 4.302, 0.000], [0.000, 0.000, 5.313]],
  "species": ["Pb", "Se", "Zr", "N", "N"],
  "frac_coords": [[0.000, 0.000, 0.000], [0.000, 0.000, 0.500], [0.500, 0.500, 0.500], [0.000, 0.500, 0.000], [0.500, 0.000, 0.000]]
}

---

(1) ends up most stable, edging out the next structure by 1196 meV/atom.

---

(1)
{
  "formula": "Si2PbN",
  "functional": "PBE",
  "state": "relaxed",
  "magmom_total_mub_per_cell": 0.0,
  "crystal_system": "cubic",
  "lattice": [[0.000, 3.262, 3.262], [3.262, 0.000, 3.262], [3.262, 3.262, 0.000]],
  "species": ["Pb", "Si", "Si", "N"],
  "frac_coords": [[0.500, 0.500, 0.500], [0.250, 0.250, 0.250], [0.750, 0.750, 0.750], [0.000, 0.000, 0.000]]
}

---

(2)
{
  "formula": "Si2PbN",
  "functional": "PBE",
  "state": "relaxed",
  "magmom_total_mub_per_cell": 0.0,
  "crystal_system": "tetragonal",
  "lattice": [[4.896, 0.000, 0.000], [0.000, 4.896, 0.000], [2.448, 2.448, 5.842]],
  "species": ["Pb", "Pb", "Si", "Si", "Si", "Si", "N", "N"],
  "frac_coords": [[0.000, 0.000, 0.000], [0.750, 0.250, 0.500], [0.447, 0.125, 0.250], [0.303, 0.625, 0.250], [0.375, 0.553, 0.750], [0.875, 0.697, 0.750], [0.500, 0.500, 0.000], [0.250, 0.750, 0.500]]
}

---

(2) ends up most stable, edging out the next structure by 1130 meV/atom.

---

(1)
{
  "formula": "Sm6Pb2N",
  "functional": "PBE",
  "state": "relaxed",
  "magmom_total_mub_per_cell": 0.0,
  "crystal_system": "cubic",
  "lattice": [[-6.994, -0.564, 0.875], [-2.786, -6.038, 2.405], [-2.737, -0.284, 6.514]],
  "species": ["Sm", "Sm", "Sm", "Sm", "Sm", "Sm", "Pb", "Pb", "N"],
  "frac_coords": [[0.256, 0.256, 0.744], [0.256, 0.744, 0.256], [0.744, 0.256, 0.744], [0.744, 0.256, 0.256], [0.256, 0.744, 0.744], [0.744, 0.744, 0.256], [0.250, 0.250, 0.250], [0.750, 0.750, 0.750], [0.500, 0.500, 0.500]]
}

---

(2)
{
  "formula": "Sm6Pb2N",
  "functional": "PBE",
  "state": "relaxed",
  "magmom_total_mub_per_cell": 0.0,
  "crystal_system": "orthorhombic",
  "lattice": [[5.679, 0.000, -0.225], [0.000, 7.040, 0.000], [-2.568, -3.520, 7.058]],
  "species": ["Sm", "Sm", "Sm", "Sm", "Sm", "Sm", "Pb", "Pb", "N"],
  "frac_coords": [[0.125, 0.371, 0.249], [0.875, 0.123, 0.751], [0.875, 0.629, 0.751], [0.500, 0.248, 0.000], [0.125, 0.877, 0.249], [0.500, 0.752, 0.000], [0.687, 0.687, 0.374], [0.313, 0.313, 0.626], [0.000, 0.000, 0.000]]
}

---

(1) ends up most stable, edging out the next structure by 417 meV/atom.

---

(1)
{
  "formula": "Sm4Pb2N",
  "functional": "PBE",
  "state": "relaxed",
  "magmom_total_mub_per_cell": 1.2,
  "crystal_system": "monoclinic",
  "lattice": [[-3.967, -2.621, -4.690], [3.706, -5.832, 0.125], [-3.289, -1.903, 8.716]],
  "species": ["Sm", "Sm", "Sm", "Sm", "Sm", "Sm", "Sm", "Sm", "Pb", "Pb", "Pb", "Pb", "N", "N"],
  "frac_coords": [[0.523, 0.500, 0.282], [0.134, 0.750, 0.953], [0.866, 0.250, 0.047], [0.523, 0.000, 0.282], [0.927, 0.250, 0.659], [0.477, 0.000, 0.718], [0.477, 0.500, 0.718], [0.073, 0.750, 0.341], [0.691, 0.750, 0.031], [0.309, 0.250, 0.969], [0.174, 0.250, 0.409], [0.826, 0.750, 0.591], [0.296, 0.750, 0.209], [0.704, 0.250, 0.791]]
}

---

(2)
{
  "formula": "Sm4Pb2N",
  "functional": "PBE",
  "state": "relaxed",
  "magmom_total_mub_per_cell": 0.0,
  "crystal_system": "tetragonal",
  "lattice": [[-1.856, -3.404, -2.952], [3.919, -2.796, 0.760], [-2.726, -6.621, 5.327]],
  "species": ["Pb", "Pb", "Sm", "Sm", "Sm", "Sm", "N"],
  "frac_coords": [[0.644, 0.644, 0.713], [0.356, 0.356, 0.287], [0.842, 0.842, 0.315], [0.158, 0.158, 0.685], [0.000, 0.500, 0.000], [0.500, 0.000, 0.000], [0.000, 0.000, 0.000]]
}

---

(2) ends up most stable, edging out the next structure by 38 meV/atom.

---

(1)
{
  "formula": "SnPbN2",
  "functional": "PBE",
  "state": "relaxed",
  "magmom_total_mub_per_cell": 0.0,
  "crystal_system": "monoclinic",
  "lattice": [[6.874, 0.373, 0.129], [1.361, 3.103, 0.715], [0.598, -1.256, 12.676]],
  "species": ["Sn", "Sn", "Pb", "Pb", "N", "N", "N", "N"],
  "frac_coords": [[0.000, 0.500, 0.500], [0.500, 0.000, 0.500], [0.250, 0.662, 0.678], [0.750, 0.338, 0.322], [0.840, 0.953, 0.906], [0.160, 0.047, 0.094], [0.660, 0.140, 0.906], [0.340, 0.860, 0.094]]
}

---

(2)
{
  "formula": "SnPbN2",
  "functional": "PBE",
  "state": "relaxed",
  "magmom_total_mub_per_cell": 0.0,
  "crystal_system": "trigonal",
  "lattice": [[2.016, 0.000, 6.576], [-1.008, 1.746, 6.576], [-1.008, -1.746, 6.576]],
  "species": ["Pb", "Sn", "N", "N"],
  "frac_coords": [[0.500, 0.500, 0.500], [0.000, 0.000, 0.000], [0.893, 0.893, 0.893], [0.107, 0.107, 0.107]]
}

---

(1) ends up most stable, edging out the next structure by 705 meV/atom.

---

(1)
{
  "formula": "Sn3PbN",
  "functional": "PBE",
  "state": "relaxed",
  "magmom_total_mub_per_cell": 0.0,
  "crystal_system": "cubic",
  "lattice": [[-4.002, -4.024, -1.034], [3.499, -2.489, -3.853], [2.241, -3.300, 4.167]],
  "species": ["Pb", "Sn", "Sn", "Sn", "N"],
  "frac_coords": [[0.000, 0.000, 0.000], [0.000, 0.500, 0.000], [0.000, 0.000, 0.500], [0.500, 0.000, 0.000], [0.500, 0.500, 0.500]]
}

---

(2)
{
  "formula": "Sn3PbN",
  "functional": "PBE",
  "state": "relaxed",
  "magmom_total_mub_per_cell": 0.0,
  "crystal_system": "cubic",
  "lattice": [[-3.292, 3.236, 1.734], [-2.886, -3.720, 1.464], [2.269, -0.037, 4.378]],
  "species": ["Pb", "Sn", "Sn", "Sn", "N"],
  "frac_coords": [[0.500, 0.500, 0.500], [0.000, 0.500, 0.000], [0.000, 0.000, 0.500], [0.500, 0.000, 0.000], [0.000, 0.000, 0.000]]
}

---

(2) ends up most stable, edging out the next structure by 1489 meV/atom.

---

(1)
{
  "formula": "Sr6Pb2N",
  "functional": "PBE",
  "state": "relaxed",
  "magmom_total_mub_per_cell": 1.0,
  "crystal_system": "cubic",
  "lattice": [[-2.448, 6.585, 2.845], [-0.923, 0.785, 7.482], [4.727, 4.409, 3.959]],
  "species": ["Sr", "Sr", "Sr", "Sr", "Sr", "Sr", "Pb", "Pb", "N"],
  "frac_coords": [[0.261, 0.261, 0.738], [0.262, 0.739, 0.261], [0.738, 0.261, 0.739], [0.739, 0.262, 0.261], [0.261, 0.738, 0.739], [0.739, 0.739, 0.262], [0.250, 0.250, 0.250], [0.750, 0.750, 0.750], [0.500, 0.500, 0.500]]
}

---

(2)
{
  "formula": "Sr6Pb2N",
  "functional": "PBE",
  "state": "relaxed",
  "magmom_total_mub_per_cell": 0.0,
  "crystal_system": "orthorhombic",
  "lattice": [[-3.430, -1.505, -1.297], [5.274, -7.719, -4.987], [-3.116, -0.718, 9.072]],
  "species": ["Sr", "Sr", "Sr", "Sr", "Sr", "Sr", "Pb", "Pb", "N"],
  "frac_coords": [[0.500, 0.622, 0.000], [0.500, 0.437, 0.438], [0.500, 0.999, 0.562], [0.000, 0.292, 0.000], [0.000, 0.809, 0.803], [0.000, 0.006, 0.197], [0.000, 0.317, 0.649], [0.000, 0.669, 0.351], [0.500, 0.849, 0.000]]
}

---

(1) ends up most stable, edging out the next structure by 190 meV/atom.

---

(1)
{
  "formula": "Sr2ZnPbN",
  "functional": "PBE",
  "state": "relaxed",
  "magmom_total_mub_per_cell": 0.0,
  "crystal_system": "monoclinic",
  "lattice": [[3.913, 0.000, 0.000], [0.000, 7.559, -0.032], [0.000, -3.279, 9.033]],
  "species": ["Sr", "Sr", "Sr", "Sr", "Zn", "Zn", "Pb", "Pb", "N", "N"],
  "frac_coords": [[0.750, 0.803, 0.646], [0.750, 0.814, 0.030], [0.250, 0.197, 0.354], [0.250, 0.186, 0.970], [0.250, 0.555, 0.770], [0.750, 0.445, 0.230], [0.250, 0.720, 0.314], [0.750, 0.280, 0.686], [0.250, 0.828, 0.840], [0.750, 0.172, 0.160]]
}

---

(2)
{
  "formula": "Sr2ZnPbN",
  "functional": "PBE",
  "state": "relaxed",
  "magmom_total_mub_per_cell": 0.0,
  "crystal_system": "tetragonal",
  "lattice": [[-3.157, 4.667, 0.617], [-1.394, -0.217, -5.490], [-3.073, -2.194, 0.867]],
  "species": ["Pb", "Sr", "Sr", "Zn", "N"],
  "frac_coords": [[0.500, 0.500, 0.500], [0.000, 0.500, 0.000], [0.500, 0.000, 0.000], [0.000, 0.000, 0.500], [0.000, 0.000, 0.000]]
}

---

(1) ends up most stable, edging out the next structure by 107 meV/atom.

---

(1)
{
  "formula": "SrZrPb2N",
  "functional": "PBE",
  "state": "relaxed",
  "magmom_total_mub_per_cell": 0.6,
  "crystal_system": "tetragonal",
  "lattice": [[6.106, 0.000, 0.000], [0.000, 4.125, 0.000], [0.000, 0.000, 6.106]],
  "species": ["Pb", "Pb", "Sr", "Zr", "N"],
  "frac_coords": [[0.000, 0.000, 0.500], [0.500, 0.000, 0.000], [0.000, 0.000, 0.000], [0.500, 0.500, 0.500], [0.000, 0.500, 0.000]]
}

---

(2)
{
  "formula": "SrZrPb2N",
  "functional": "PBE",
  "state": "relaxed",
  "magmom_total_mub_per_cell": 0.0,
  "crystal_system": "tetragonal",
  "lattice": [[5.087, 0.000, 0.000], [0.000, 4.800, 0.000], [0.000, 0.000, 5.087]],
  "species": ["Pb", "Pb", "Sr", "Zr", "N"],
  "frac_coords": [[0.000, 0.000, 0.500], [0.500, 0.000, 0.000], [0.000, 0.500, 0.000], [0.500, 0.500, 0.500], [0.000, 0.000, 0.000]]
}

---

(2) ends up most stable, edging out the next structure by 855 meV/atom.

---

(1)
{
  "formula": "Ta2PbN2",
  "functional": "PBE",
  "state": "relaxed",
  "magmom_total_mub_per_cell": 0.0,
  "crystal_system": "tetragonal",
  "lattice": [[-2.798, 2.792, -1.078], [-0.309, -1.737, -3.697], [-5.443, -2.666, -0.561]],
  "species": ["Pb", "N", "N", "Ta", "Ta"],
  "frac_coords": [[0.000, 0.000, 0.000], [0.293, 0.293, 0.413], [0.707, 0.707, 0.587], [0.750, 0.250, 0.500], [0.250, 0.750, 0.500]]
}

---

(2)
{
  "formula": "Ta2PbN2",
  "functional": "PBE",
  "state": "relaxed",
  "magmom_total_mub_per_cell": 0.0,
  "crystal_system": "tetragonal",
  "lattice": [[-2.285, 1.904, -6.346], [5.849, -2.575, -2.878], [-1.292, -2.586, -0.311]],
  "species": ["Pb", "Pb", "N", "N", "N", "N", "Ta", "Ta", "Ta", "Ta"],
  "frac_coords": [[0.000, 0.000, 0.000], [0.500, 0.500, 0.000], [0.385, 0.885, 0.000], [0.885, 0.615, 0.000], [0.615, 0.115, 0.000], [0.115, 0.385, 0.000], [0.136, 0.636, 0.500], [0.636, 0.864, 0.500], [0.864, 0.364, 0.500], [0.364, 0.136, 0.500]]
}

---

(1) ends up most stable, edging out the next structure by 766 meV/atom.

---

(1)
{
  "formula": "TaPb3N",
  "functional": "PBE",
  "state": "relaxed",
  "magmom_total_mub_per_cell": 3.0,
  "crystal_system": "cubic",
  "lattice": [[5.518, 0.000, 0.000], [0.000, 5.518, 0.000], [0.000, 0.000, 5.518]],
  "species": ["Pb", "Pb", "Pb", "N", "Ta"],
  "frac_coords": [[0.000, 0.500, 0.000], [0.000, 0.000, 0.500], [0.500, 0.000, 0.000], [0.500, 0.500, 0.500], [0.000, 0.000, 0.000]]
}

---

(2)
{
  "formula": "TaPb3N",
  "functional": "PBE",
  "state": "relaxed",
  "magmom_total_mub_per_cell": 0.0,
  "crystal_system": "cubic",
  "lattice": [[-3.625, 2.889, -1.401], [-1.751, -0.007, 4.514], [2.691, 3.886, 1.050]],
  "species": ["Pb", "Pb", "Pb", "N", "Ta"],
  "frac_coords": [[0.000, 0.500, 0.000], [0.000, 0.000, 0.500], [0.500, 0.000, 0.000], [0.000, 0.000, 0.000], [0.500, 0.500, 0.500]]
}

---

(2) ends up most stable, edging out the next structure by 249 meV/atom.